VAgIO2 | PBE with a Hubbard U | optimized geometry

a = 4.1613 Å, b = 4.1613 Å, c = 5.6615 Å
α = 90.00°, β = 90.00°, γ = 90.00°
Fractional coordinates of all 5 atoms:
1 O 0.0000 0.5000 0.0000
2 O 0.5000 0.0000 0.0000
3 V 0.5000 0.5000 0.5000
4 I 0.0000 0.0000 0.5000
5 Ag 0.0000 0.0000 0.0000

Results
Polymorph energy (0 for the lowest one)   1212 meV per atom
D(E_F)   3.48 states/eV per cell
Total DFT energy (no corrections)   -3.864 eV per atom
Calculated density   5.381 g/cm³